12
Lattice="-3.867 0.875 -1.072 -2.338 -8.146 1.782 -1.199 4.352 7.873" Properties=species:S:1:pos:R:3 comment="GGA-PBE SrNpCuSe3, relaxed" formation_energy_uncorrected_ev_per_atom=-1.2085 spacegroup="No. 11" pbc="T T T"
Sr -1.685 -0.264 1.929
Se -4.027 1.103 3.623
Se -5.172 -6.079 1.893
Np -2.733 -4.545 2.212
Sr -5.718 -2.655 6.653
Se -3.284 -0.752 7.296
Np -4.670 1.626 6.370
Cu -1.851 2.109 4.464
Se -3.376 -4.022 4.960
Cu -5.552 -5.027 4.118
Se -2.231 3.160 6.690
Se -4.119 -2.166 1.286

20
Lattice="-4.961 -2.275 5.150 -2.636 -7.085 -5.960 5.373 -7.324 3.078" Properties=species:S:1:pos:R:3 comment="GGA-PBE La7Ho12Tl, relaxed" formation_energy_mev_per_atom=139.4 spacegroup="No. 2" pbc="T T T"
Ho -0.695 -5.673 2.925
La 2.097 -8.478 2.564
Ho -2.113 -4.648 -0.030
Ho -3.096 -2.731 2.684
Ho -3.563 -10.932 2.459
La -4.321 -8.206 -0.296
La -4.610 -5.730 2.693
La -1.112 -8.342 1.134
Ho 2.725 -5.086 2.759
La 2.386 -10.955 -0.425
La -2.480 -9.586 -3.607
Ho 0.872 -13.954 -0.417
La 0.256 -7.099 5.874
Ho 1.338 -5.753 -0.191
Ho -4.949 -11.599 -0.491
Ho -0.111 -12.037 2.298
Tl 0.000 0.000 0.000
Ho -0.943 -9.974 4.702
Ho -1.281 -6.710 -2.434
Ho -1.529 -11.012 -0.657

Values of calculated total energy, in order: -6.071; -4.450, all in eV per atom.